Record 1
First-principles (PBE) data for an optimized crystal structure of CoRe, as listed in OQMD.

## Properties
Symmetry ... P6_3/mmc (194)
V ... 13.825 A^3/atom
Total energy ... -221.64 eV for the cell shown

abc: 5.0331 5.0331 15.1243
angles: 90.00 90.00 120.00
With the nearest neighbours (Å) after each atom.
Element x y z (fractional)
Co: 0.0000 0.0000 0.0820  1 Co 2.48
Co: 0.0000 0.0000 0.4180  1 Co 2.48
Co: 0.0000 0.0000 0.5820  1 Co 2.48
Co: 0.0000 0.0000 0.9180  1 Co 2.48
Co: 0.3333 0.6667 0.1298  6 Re 2.37-2.44
Co: 0.3333 0.6667 0.3702  6 Re 2.37-2.44
Co: 0.3333 0.6667 0.6662  1 Co 2.54, 6 Re 2.82
Co: 0.3333 0.6667 0.8338  1 Co 2.54, 6 Re 2.82
Co: 0.6667 0.3333 0.1662  1 Co 2.54, 6 Re 2.82
Co: 0.6667 0.3333 0.3338  1 Co 2.54, 6 Re 2.82
Co: 0.6667 0.3333 0.6298  6 Re 2.37-2.44
Co: 0.6667 0.3333 0.8702  6 Re 2.37-2.44
Re: 0.0000 0.5000 0.0000  2 Co 2.44, 4 Re 2.52
Re: 0.0000 0.5000 0.5000  2 Co 2.44, 4 Re 2.52
Re: 0.1584 0.3168 0.2500  2 Co 2.37, 4 Re 2.39-2.64
Re: 0.1584 0.8416 0.2500  2 Co 2.37, 4 Re 2.39-2.64
Re: 0.3168 0.1584 0.7500  2 Co 2.37, 4 Re 2.39-2.64
Re: 0.5000 0.0000 0.0000  2 Co 2.44, 4 Re 2.52
Re: 0.5000 0.0000 0.5000  2 Co 2.44, 4 Re 2.52
Re: 0.5000 0.5000 0.0000  2 Co 2.44, 4 Re 2.52
Re: 0.5000 0.5000 0.5000  2 Co 2.44, 4 Re 2.52
Re: 0.6832 0.8416 0.2500  2 Co 2.37, 4 Re 2.39-2.64
Re: 0.8416 0.1584 0.7500  2 Co 2.37, 4 Re 2.39-2.64
Re: 0.8416 0.6832 0.7500  2 Co 2.37, 4 Re 2.39-2.64

Record 2
First-principles (PBE) data for an optimized crystal structure of Ho2AsIr, as listed in OQMD.

## Properties
Symmetry ... P6_3/mmc (194)
V ... 23.841 A^3/atom
Total energy ... -52.37 eV for the cell shown

abc: 4.0123 4.0123 13.6812
angles: 90.00 90.00 120.00
With the nearest neighbours (Å) after each atom.
Element x y z (fractional)
Ho: 0.3333 0.6667 0.1184  3 Ir 2.83, 3 As 2.93
Ho: 0.3333 0.6667 0.3816  3 Ir 2.83, 3 As 2.93
Ho: 0.6667 0.3333 0.6184  3 Ir 2.83, 3 As 2.93
Ho: 0.6667 0.3333 0.8816  3 Ir 2.83, 3 As 2.93
As: 0.3333 0.6667 0.7500  6 Ho 2.93
As: 0.6667 0.3333 0.2500  6 Ho 2.93
Ir: 0.0000 0.0000 0.0000  6 Ho 2.83
Ir: 0.0000 0.0000 0.5000  6 Ho 2.83

Record 3
First-principles (PBE) data for an optimized crystal structure of La2PrAl3AgPd2, as listed in OQMD.

## Properties
Symmetry ... Amm2 (38)
V ... 22.343 A^3/atom
Total energy ... -44.97 eV for the cell shown

abc: 4.3031 7.3650 7.3650
angles: 120.51 90.00 90.00
With the nearest neighbours (Å) after each atom.
Element x y z (fractional)
La: 0.0000 0.2130 0.7870  4 Pd 3.06, 1 Ag 3.13, 2 Al 3.31
La: 0.0000 0.7870 0.2130  4 Pd 3.06, 1 Ag 3.13, 2 Al 3.31
Pr: 0.0000 0.6357 0.6357  4 Pd 3.09, 1 Ag 3.10, 6 Al 3.28-3.43
Al: 0.5000 0.2148 0.4466  2 Ag 2.76, 2 Pd 2.88-2.89, 2 Al 2.96-2.99
Al: 0.5000 0.4466 0.2148  2 Ag 2.76, 2 Pd 2.88-2.89, 2 Al 2.96-2.99
Al: 0.5000 0.9752 0.9752  2 Ag 2.76, 2 Pd 2.87, 2 Al 2.99
Ag: 0.0000 0.2109 0.2109  6 Al 2.76
Pd: 0.5000 0.5458 0.8817  3 Al 2.87-2.89, 4 La 3.06, 2 Pr 3.09
Pd: 0.5000 0.8817 0.5458  3 Al 2.87-2.89, 4 La 3.06, 2 Pr 3.09

Record 4
First-principles (PBE) data for an optimized crystal structure of FeReBr7, as listed in OQMD.

## Properties
Symmetry ... Pc (7)
V ... 37.402 A^3/atom
Total energy ... -70.17 eV for the cell shown

abc: 7.1096 6.3190 15.1953
angles: 90.00 99.53 90.00
With the nearest neighbours (Å) after each atom.
Element x y z (fractional)
Fe: 0.0000 0.0054 0.0000  4 Br 2.29-2.43
Fe: 0.0000 0.9946 0.5000  4 Br 2.29-2.43
Re: 0.2437 0.4127 0.1341  5 Br 2.42-2.64
Re: 0.2437 0.5873 0.6341  5 Br 2.42-2.64
Br: 0.0098 0.3747 0.5044  1 Fe 2.40
Br: 0.0098 0.6253 0.0044  1 Fe 2.40
Br: 0.1387 0.3653 0.7464  1 Re 2.42
Br: 0.1387 0.6347 0.2464  1 Re 2.42
Br: 0.3101 0.1695 0.0010  1 Fe 2.43, 1 Re 2.64
Br: 0.3101 0.8305 0.5010  1 Fe 2.43, 1 Re 2.64
Br: 0.4343 0.1809 0.2403  1 Re 2.42
Br: 0.4343 0.8191 0.7403  1 Re 2.42
Br: 0.5091 0.3664 0.6097  1 Re 2.42
Br: 0.5091 0.6336 0.1097  1 Re 2.42
Br: 0.7831 0.1203 0.8808  1 Fe 2.29
Br: 0.7831 0.8797 0.3808  1 Fe 2.29
Br: 0.9420 0.1711 0.1376  1 Fe 2.43, 1 Re 2.64
Br: 0.9420 0.8289 0.6376  1 Fe 2.43, 1 Re 2.64

Record 5
First-principles (PBE) data for an optimized crystal structure of LuCdFeB, as listed in OQMD.

## Properties
Symmetry ... F-43m (216)
E above lowest polymorph ... 1.11 eV/f.u.
V ... 15.772 A^3/atom
Total energy ... -17.21 eV for the cell shown

abc: 4.4684 4.4684 4.4684
angles: 60.00 60.00 60.00
With the nearest neighbours (Å) after each atom.
Element x y z (fractional)
Lu: 0.0000 0.0000 0.0000  4 Fe 2.74, 4 Cd 2.74
Cd: 0.2500 0.2500 0.2500  4 B 2.74, 4 Lu 2.74
Fe: 0.7500 0.7500 0.7500  4 B 2.74, 4 Lu 2.74
B: 0.5000 0.5000 0.5000  4 Cd 2.74, 4 Fe 2.74

Record 6
First-principles (PBE) data for an optimized crystal structure of HoTmH4, as listed in OQMD.

## Properties
Symmetry ... P4/mmm (123)
V ... 10.979 A^3/atom
Total energy ... -26.73 eV for the cell shown

abc: 3.6011 3.6011 5.0798
angles: 90.00 90.00 90.00
With the nearest neighbours (Å) after each atom.
Element x y z (fractional)
Ho: 0.0000 0.0000 0.0000  8 H 2.21
Tm: 0.5000 0.5000 0.5000  8 H 2.19
H: 0.0000 0.5000 0.2537  2 Tm 2.19, 2 Ho 2.21
H: 0.0000 0.5000 0.7463  2 Tm 2.19, 2 Ho 2.21
H: 0.5000 0.0000 0.2537  2 Tm 2.19, 2 Ho 2.21
H: 0.5000 0.0000 0.7463  2 Tm 2.19, 2 Ho 2.21

Record 7
First-principles (PBE) data for an optimized crystal structure of BaIr2O6, as listed in OQMD.

## Properties
Symmetry ... P-31m (162)
V ... 15.067 A^3/atom
Total energy ... -60.75 eV for the cell shown

abc: 5.3564 5.3564 5.4577
angles: 90.00 90.00 120.00
With the nearest neighbours (Å) after each atom.
Element x y z (fractional)
Ba: 0.0000 0.0000 0.0000  6 O 2.68
Ir: 0.3333 0.6667 0.5000  6 O 1.97
Ir: 0.6667 0.3333 0.5000  6 O 1.97
O: 0.0000 0.3949 0.6985  2 Ir 1.97
O: 0.0000 0.6051 0.3015  2 Ir 1.97
O: 0.3949 0.0000 0.6985  2 Ir 1.97
O: 0.3949 0.3949 0.3015  2 Ir 1.97
O: 0.6051 0.0000 0.3015  2 Ir 1.97
O: 0.6051 0.6051 0.6985  2 Ir 1.97

Record 8
First-principles (PBE) data for an optimized crystal structure of Ta2TcPd, as listed in OQMD.

## Properties
Symmetry ... F-43m (216)
V ... 16.413 A^3/atom
Total energy ... -39.21 eV for the cell shown

abc: 4.5281 4.5281 4.5281
angles: 60.00 60.00 60.00
With the nearest neighbours (Å) after each atom.
Element x y z (fractional)
Ta: 0.0000 0.0000 0.0000  4 Ta 2.77, 4 Pd 2.77
Ta: 0.2500 0.2500 0.2500  4 Tc 2.77, 4 Ta 2.77
Tc: 0.5000 0.5000 0.5000  4 Ta 2.77, 4 Pd 2.77
Pd: 0.7500 0.7500 0.7500  4 Tc 2.77, 4 Ta 2.77

Number 2 is which compound?
Ho2AsIr